1.
AlReTc2: relaxed, GGA-PBE.

Computed properties:
Symmetry ... No. 122
Volume ... 131.3 Å³ per cell
Formation energy from the elements ... 0.617 eV per atom

Unit cell a=7.059 b=7.059 c=5.644 alpha=51.30 beta=51.30 gamma=90.00
Sites, in units of the cell vectors:
Tc 0.375 0.351 0.750
Tc 0.875 0.899 0.750
Tc 0.649 0.125 0.250
Tc 0.101 0.625 0.250
Re 0.750 0.250 0.500
Re 0.000 0.000 0.000
Al 0.500 0.500 0.000
Al 0.250 0.750 0.500

2.
Al2ReTc: relaxed, GGA-PBE.

Computed properties:
Symmetry ... No. 12
Relative energy among the computed polymorphs ... 0.239 eV per atom
Volume ... 58.3 Å³ per cell
Formation energy from the elements ... -0.126 eV per atom

Unit cell a=4.984 b=4.984 c=2.739 alpha=78.49 beta=78.49 gamma=113.11
Sites, in units of the cell vectors:
Re 0.500 0.000 0.500
Tc 0.000 0.500 0.500
Al 0.000 0.000 0.000
Al 0.500 0.500 0.000

3.
AlReTc2: relaxed, GGA-PBE.

Computed properties:
Symmetry ... No. 99
Volume ... 57.8 Å³ per cell
Formation energy from the elements ... -0.126 eV per atom

Unit cell a=2.892 b=2.892 c=6.906 alpha=90.00 beta=90.00 gamma=90.00
Sites, in units of the cell vectors:
Al 0.000 0.000 0.497
Tc 0.000 0.000 0.001
Tc 0.500 0.500 0.255
Re 0.500 0.500 0.747

4.
Al2ReTc: relaxed, GGA-PBE.

Computed properties:
Symmetry ... No. 160
Relative energy among the computed polymorphs ... 0.167 eV per atom
Volume ... 60.5 Å³ per cell
Formation energy from the elements ... -0.198 eV per atom

Unit cell a=8.888 b=8.888 c=8.888 alpha=18.30 beta=18.30 gamma=18.30
Sites, in units of the cell vectors:
Tc 0.248 0.248 0.248
Al 0.997 0.997 0.997
Al 0.752 0.752 0.752
Re 0.502 0.502 0.502

5.
Al2ReTc: relaxed, GGA-PBE.

Computed properties:
Symmetry ... No. 166
Relative energy among the computed polymorphs ... 0.261 eV per atom
Volume ... 58.9 Å³ per cell
Formation energy from the elements ... -0.104 eV per atom

Unit cell a=8.655 b=8.655 c=8.655 alpha=18.81 beta=18.81 gamma=18.81
Sites, in units of the cell vectors:
Al 0.999 0.999 0.999
Al 0.501 0.501 0.501
Re 0.750 0.750 0.750
Tc 0.250 0.250 0.250

6.
AlReTc2: relaxed, GGA-PBE.

Computed properties:
Symmetry ... No. 71
Volume ... 67.9 Å³ per cell
Formation energy from the elements ... 0.495 eV per atom

Unit cell a=6.324 b=6.324 c=6.324 alpha=47.62 beta=155.24 gamma=139.99
Sites, in units of the cell vectors:
Al 0.000 0.000 0.000
Re 0.000 0.500 0.500
Tc 0.000 0.710 0.710
Tc 0.000 0.290 0.290

7.
Al2ReTc: relaxed, GGA-PBE.

Computed properties:
Symmetry ... No. 65
Relative energy among the computed polymorphs ... 0.234 eV per atom
Volume ... 58.4 Å³ per cell
Formation energy from the elements ... -0.130 eV per atom

Unit cell a=2.732 b=2.732 c=8.403 alpha=90.00 beta=90.00 gamma=111.53
Sites, in units of the cell vectors:
Al 0.000 0.000 0.996
Al 0.000 0.000 0.504
Tc 0.500 0.500 0.750
Re 0.500 0.500 0.250

8.
Al2ReTc: relaxed, GGA-PBE.

Computed properties:
Symmetry ... No. 123
Relative energy among the computed polymorphs ... 0.242 eV per atom
Volume ... 57.0 Å³ per cell
Formation energy from the elements ... -0.122 eV per atom

Unit cell a=4.278 b=4.278 c=3.115 alpha=90.00 beta=90.00 gamma=90.00
Sites, in units of the cell vectors:
Re 0.500 0.000 0.500
Al 0.500 0.500 0.000
Al 0.000 0.000 0.000
Tc 0.000 0.500 0.500

9.
Al2ReTc: relaxed, GGA-PBE.

Computed properties:
Symmetry ... No. 122
Relative energy among the computed polymorphs ... 0.865 eV per atom
Volume ... 125.8 Å³ per cell
Formation energy from the elements ... 0.501 eV per atom

Unit cell a=6.836 b=6.836 c=5.533 alpha=51.85 beta=51.85 gamma=90.00
Sites, in units of the cell vectors:
Tc 0.250 0.750 0.500
Tc 0.500 0.500 0.000
Re 0.000 0.000 0.000
Re 0.750 0.250 0.500
Al 0.875 0.872 0.750
Al 0.622 0.125 0.250
Al 0.128 0.625 0.250
Al 0.375 0.378 0.750

10.
AlReTc2: relaxed, GGA-PBE.

Computed properties:
Symmetry ... No. 166
Volume ... 59.0 Å³ per cell
Formation energy from the elements ... -0.088 eV per atom

Unit cell a=8.865 b=8.865 c=8.865 alpha=18.14 beta=18.14 gamma=18.14
Sites, in units of the cell vectors:
Tc 0.500 0.500 0.500
Tc 0.000 0.000 0.000
Re 0.750 0.750 0.750
Al 0.250 0.250 0.250

11.
AlRe3Tc: relaxed, GGA-PBE.

Computed properties:
Symmetry ... No. 221
Relative energy among the computed polymorphs ... 0.000 eV per atom
Volume ... 83.8 Å³ per cell
Formation energy from the elements ... 1.766 eV per atom

Unit cell a=4.377 b=4.377 c=4.377 alpha=90.00 beta=90.00 gamma=90.00
Sites, in units of the cell vectors:
Re 0.500 0.000 0.000
Re 0.000 0.500 0.000
Re 0.000 0.000 0.500
Tc 0.500 0.500 0.500
Al 0.000 0.000 0.000

12.
AlRe3Tc: relaxed, GGA-PBE.

Computed properties:
Symmetry ... No. 221
Relative energy among the computed polymorphs ... 0.274 eV per atom
Volume ... 100.7 Å³ per cell
Formation energy from the elements ... 2.040 eV per atom

Unit cell a=4.652 b=4.652 c=4.652 alpha=90.00 beta=90.00 gamma=90.00
Sites, in units of the cell vectors:
Al 0.500 0.500 0.500
Re 0.000 0.500 0.000
Re 0.500 0.000 0.000
Re 0.000 0.000 0.500
Tc 0.000 0.000 0.000

Which of these has the highest formation energy from the elements?
number 12

Among the records above, which one has the lowest formation energy from the elements?
number 4

Which value of volume does entry 11 give?
83.8 Å³ per cell

What is the volume in the fifth record?
58.9 Å³ per cell